A plane-wave DFT calculation with PBE was carried out for a geometry-optimized RbSmPO structure.

```
data_RbSmPO
_chemical_formula_sum 'Rb2 Sm2 P2 O2'
_cell_length_a 5.917
_cell_length_b 5.917
_cell_length_c 5.201
_cell_angle_alpha 90.00
_cell_angle_beta 90.00
_cell_angle_gamma 90.00
_space_group_name_H-M_alt 'P 4/n m m'
_space_group_IT_number 129
loop_
_space_group_symop_operation_xyz
'x,y,z'
'-x,-y,-z'
'-y+1/2,x,z'
'y+1/2,-x,-z'
'-x+1/2,-y+1/2,z'
'x+1/2,y+1/2,-z'
'y,-x+1/2,z'
'-y,x+1/2,-z'
'x+1/2,-y,-z'
'-x+1/2,y,z'
'-y,-x,-z'
'y,x,z'
'-x,y+1/2,-z'
'x,-y+1/2,z'
'y+1/2,x+1/2,-z'
'-y+1/2,-x+1/2,z'
loop_
_atom_site_label
_atom_site_fract_x
_atom_site_fract_y
_atom_site_fract_z
Rb1 0.250 0.250 0.003
Sm1 0.250 0.750 0.500
P1 0.250 0.250 0.503
O1 0.250 0.750 0.000
```

Results
Electronic total energy ... -4.96 eV/atom
Density ... 5.157 g cm⁻³
Distance to the lowest polymorph of the same formula ... 469 meV per atom